Material: K2TmNiF6
Method: DFT, GGA+U
State: optimized geometry

Values from the calculation:
**Total magnetic moment**: 1.00 μB/f.u.
**E_tot**: -100.4 eV per cell

a b c (Å): 5.9297 9.6891 5.9324
angles (deg): 90.00 90.00 90.00
Last column: nearest neighbours and their distance in Å.
Sites, in units of the cell vectors:
1 K 0.2500 0.0003 0.2490  12 F 2.97-3.23
2 K 0.2500 0.4997 0.2490  12 F 2.97-3.23
3 K 0.7500 0.9997 0.7510  12 F 2.97-3.23
4 K 0.7500 0.5003 0.7510  12 F 2.97-3.23
5 Tm 0.2500 0.2500 0.7452  6 F 2.13
6 Tm 0.7500 0.7500 0.2548  6 F 2.13
7 Ni 0.2500 0.7500 0.7551  4 F 2.07
8 Ni 0.7500 0.2500 0.2449  4 F 2.07
9 F 0.0026 0.7500 0.5093  1 Ni 2.07, 1 Tm 2.13
10 F 0.0044 0.7500 0.0020  1 Ni 2.07, 1 Tm 2.13
11 F 0.2500 0.0303 0.7467  1 Tm 2.13
12 F 0.2500 0.4697 0.7467  1 Tm 2.13
13 F 0.4956 0.7500 0.0020  1 Ni 2.07, 1 Tm 2.13
14 F 0.4974 0.7500 0.5093  1 Ni 2.07, 1 Tm 2.13
15 F 0.5026 0.2500 0.4907  1 Ni 2.07, 1 Tm 2.13
16 F 0.5044 0.2500 0.9980  1 Ni 2.07, 1 Tm 2.13
17 F 0.7500 0.5303 0.2533  1 Tm 2.13
18 F 0.7500 0.9697 0.2533  1 Tm 2.13
19 F 0.9956 0.2500 0.9980  1 Ni 2.07, 1 Tm 2.13
20 F 0.9974 0.2500 0.4907  1 Ni 2.07, 1 Tm 2.13